(1)
First-principles (PBE-GGA) data for a relaxed Zn2Ga9Pb3 crystal, as listed in the Alexandria database.

Crystal system = orthorhombic
ΔH_f (0 K) = 46 meV per atom

The structure in extended XYZ format:
```
14
Lattice="4.1213 0.0000 1.1070 1.6715 8.2444 2.0023 -0.1105 -0.4076 8.6368" Properties=species:S:1:pos:R:3 pbc="T T T"
Ga 4.9279 6.8965 6.3296
Ga 3.7900 5.5404 10.5660
Ga 4.1553 3.1455 9.2059
Ga 1.5271 4.6912 2.5401
Ga 1.8924 2.2963 1.1801
Ga 0.7805 3.9184 5.3195
Ga 4.2400 7.7253 8.8905
Ga 0.7545 0.9402 5.4165
Ga 1.4424 0.1114 2.8555
Zn 2.4981 2.2527 7.1503
Zn 3.1843 5.5840 4.5958
Pb 3.3263 2.4335 4.0670
Pb 0.0000 0.0000 0.0000
Pb 2.3561 5.4032 7.6791
```

(2)
First-principles (PBE-GGA) data for a relaxed TbHg6Pb crystal, as listed in the Alexandria database.

Crystal system = tetragonal
ΔH_f (0 K) = -156 meV per atom

The structure in extended XYZ format:
```
8
Lattice="4.7138 0.0000 0.0000 0.0000 4.7138 0.0000 0.0000 0.0000 9.2159" Properties=species:S:1:pos:R:3 pbc="T T T"
Hg 2.3569 2.3569 0.0000
Hg 0.0000 2.3569 2.3789
Hg 2.3569 0.0000 2.3789
Hg 2.3569 0.0000 6.8370
Hg 0.0000 2.3569 6.8370
Hg 2.3569 2.3569 4.6079
Tb 0.0000 0.0000 4.6079
Pb 0.0000 0.0000 0.0000
```

(3)
First-principles (PBE-GGA) data for a relaxed La3CuRh8 crystal, as listed in the Alexandria database.

Crystal system = trigonal
ΔH_f (0 K) = -460 meV per atom

The structure in extended XYZ format:
```
12
Lattice="-1.5295 -3.4859 -3.8268 -3.4137 -4.0038 1.2048 -8.4611 2.7060 -2.8900" Properties=species:S:1:pos:R:3 pbc="T T T"
Rh -8.9039 -0.2603 -1.9110
Rh -9.6700 -2.0063 -3.8277
Rh -4.7219 -1.5775 -0.4825
Rh -3.0144 0.4251 -1.0851
Rh -7.9602 -0.0009 -4.4311
Rh -3.7795 -1.3185 -2.9992
Rh -2.1184 -2.1371 -1.0133
Rh -8.8206 -4.5290 -3.7693
La -4.1925 -4.3082 -2.0135
La -6.8681 -2.2651 -2.8051
La -8.2407 2.5377 -2.8248
Cu -5.6003 0.5215 -2.0435
```

Short version: DFT total energy = -40.3, -11.4, -83.2 eV per cell, in the order given.
Short version: magnetic moment = 0.00, 0.00, 0.00 μB per cell, in the order given.